Computed, not measured: a geometry-optimized GaCuO2 structure at the PBEsol level of DFT.

Properties
Formation energy (no corrections): -1352 meV per atom
Magnetization: 0.0 μB/cell

abc: 2.969 2.969 11.414
angles: 90.00 90.00 120.00
Fractional positions:
Ga: 0.000 0.000 0.000
Ga: 0.000 0.000 0.500
Cu: 0.333 0.667 0.250
Cu: 0.667 0.333 0.750
O: 0.333 0.667 0.089
O: 0.333 0.667 0.411
O: 0.667 0.333 0.589
O: 0.667 0.333 0.911